Computed, not measured: a relaxed structure of Rb2WSO4 at the PBE+U level of DFT.

Calculated values
VASP energy: -5.363 eV per atom

a b c (Å): 12.4549 12.4549 12.4549
angles (deg): 28.81 28.81 28.81
Atoms (fractional coordinates):
Rb 0.1467 0.1467 0.1467
Rb 0.2750 0.2750 0.2750
Rb 0.7250 0.7250 0.7250
Rb 0.8533 0.8533 0.8533
W 0.4388 0.4388 0.4388
W 0.5612 0.5612 0.5612
S 0.3746 0.3746 0.3746
S 0.6254 0.6254 0.6254
O 0.0590 0.0590 0.0590
O 0.1403 0.6135 0.6135
O 0.3865 0.3865 0.8597
O 0.3865 0.8597 0.3865
O 0.6135 0.1403 0.6135
O 0.6135 0.6135 0.1403
O 0.8597 0.3865 0.3865
O 0.9410 0.9410 0.9410